The following is a PBE calculation of a relaxed BaZn2SiRu crystal, from Alexandria via LeMat-Bulk.

a = 4.9603 Å, b = 4.9603 Å, c = 4.6089 Å
α = 90.00°, β = 90.00°, γ = 90.00°
Closest atoms and distances in Å follow each position.
Element x y z (fractional)
Si 0.0000 0.0000 0.5000  2 Ru 2.30
Ru 0.0000 0.0000 0.0000  2 Si 2.30, 4 Zn 2.48
Ba 0.5000 0.5000 0.5000  8 Zn 3.39, 4 Si 3.51
Zn 0.0000 0.5000 0.0000  2 Ru 2.48
Zn 0.5000 0.0000 0.0000  2 Ru 2.48

Values from the calculation:
V   22.68 Å³ per atom
Uncorrected formation energy   -0.31 eV per atom
Electronic total energy   -20.74 eV per cell
SG   No. 123

***

The following is a PBE calculation of a relaxed BaSmRu crystal, from Alexandria via LeMat-Bulk.

a = 5.4307 Å, b = 3.9179 Å, c = 13.2074 Å
α = 79.72°, β = 90.00°, γ = 133.87°
Closest atoms and distances in Å follow each position.
Element x y z (fractional)
Ba 0.3614 0.7228 0.3454  1 Ru 3.03
Ba 0.6386 0.2772 0.6546  1 Ru 3.03
Sm 0.2977 0.5953 0.9151  5 Ru 2.86-3.08
Sm 0.7023 0.4047 0.0849  5 Ru 2.86-3.08
Ru 0.1480 0.2961 0.1560  5 Sm 2.86-3.08, 1 Ba 3.03
Ru 0.8520 0.7039 0.8440  5 Sm 2.86-3.08, 1 Ba 3.03

Values from the calculation:
V   32.71 Å³ per atom
Electronic total energy   -31.38 eV per cell
SG   No. 12

***

The following is a PBE calculation of a relaxed Ba2SnRu2 crystal, from Alexandria via LeMat-Bulk.

a = 6.2858 Å, b = 6.2858 Å, c = 5.8774 Å
α = 57.67°, β = 57.67°, γ = 90.00°
Closest atoms and distances in Å follow each position.
Element x y z (fractional)
Ba 0.7500 0.2500 0.5000  4 Ru 3.22
Ba 0.2500 0.7500 0.5000  4 Ru 3.22
Ru 0.3438 0.3438 0.3125  1 Ru 2.40, 1 Sn 2.64
Ru 0.6562 0.6562 0.6875  1 Ru 2.40, 1 Sn 2.64
Sn 0.0000 0.0000 0.0000  2 Ru 2.64

Values from the calculation:
V   30.39 Å³ per atom
Electronic total energy   -24.00 eV per cell
SG   No. 139

***

The following is a PBE calculation of a relaxed BaSn12Ru4 crystal, from Alexandria via LeMat-Bulk.

a = 8.3045 Å, b = 8.3045 Å, c = 8.3045 Å
α = 109.47°, β = 109.47°, γ = 109.47°
Closest atoms and distances in Å follow each position.
Element x y z (fractional)
Ru 0.5000 0.5000 0.5000  6 Sn 2.64
Ru 0.0000 0.5000 0.0000  6 Sn 2.64
Ru 0.0000 0.0000 0.5000  6 Sn 2.64
Ru 0.5000 0.0000 0.0000  6 Sn 2.64
Sn 0.1640 0.8273 0.3367  2 Ru 2.64
Sn 0.4905 0.8273 0.6633  2 Ru 2.64
Sn 0.1727 0.3367 0.5095  2 Ru 2.64
Sn 0.3367 0.5095 0.1727  2 Ru 2.64
Sn 0.8273 0.6633 0.4905  2 Ru 2.64
Sn 0.5095 0.1727 0.3367  2 Ru 2.64
Sn 0.6633 0.8360 0.1727  2 Ru 2.64
Sn 0.8360 0.1727 0.6633  2 Ru 2.64
Sn 0.6633 0.4905 0.8273  2 Ru 2.64
Sn 0.3367 0.1640 0.8273  2 Ru 2.64
Sn 0.1727 0.6633 0.8360  2 Ru 2.64
Sn 0.8273 0.3367 0.1640  2 Ru 2.64
Ba 0.0000 0.0000 0.0000  12 Sn 3.63

Values from the calculation:
V   25.93 Å³ per atom
Electronic total energy   -87.75 eV per cell
SG   No. 204

***

The following is a PBE calculation of a relaxed BaSn2Ru crystal, from Alexandria via LeMat-Bulk.

a = 4.5193 Å, b = 4.5193 Å, c = 6.8951 Å
α = 70.87°, β = 70.87°, γ = 60.00°
Closest atoms and distances in Å follow each position.
Element x y z (fractional)
Sn 0.7116 0.7116 0.8651  3 Ru 2.75
Sn 0.2884 0.2884 0.1349  3 Ru 2.75
Ba 0.5000 0.5000 0.5000  6 Sn 3.50
Ru 0.0000 0.0000 0.0000  6 Sn 2.75

Values from the calculation:
V   28.22 Å³ per atom
Electronic total energy   -20.38 eV per cell
SG   No. 166

***

The following is a PBE calculation of a relaxed BaSn2Ru crystal, from Alexandria via LeMat-Bulk.

a = 5.9603 Å, b = 5.9603 Å, c = 9.1824 Å
α = 71.06°, β = 71.06°, γ = 90.00°
Closest atoms and distances in Å follow each position.
Element x y z (fractional)
Sn 0.3750 0.6103 0.7500  2 Ru 2.53
Sn 0.8750 0.6397 0.7500  2 Ru 2.53
Sn 0.3603 0.6250 0.2500  2 Ru 2.53
Sn 0.3897 0.1250 0.2500  2 Ru 2.53
Ru 0.2500 0.7500 0.5000  4 Sn 2.53
Ru 0.5000 0.5000 0.0000  4 Sn 2.53
Ba 0.0000 0.0000 0.0000  8 Sn 3.84-3.97, 4 Ru 4.21
Ba 0.7500 0.2500 0.5000  8 Sn 3.84-3.97, 4 Ru 4.21

Values from the calculation:
V   36.23 Å³ per atom
Electronic total energy   -39.01 eV per cell
SG   No. 122

***

The following is a PBE calculation of a relaxed BaSnRu2 crystal, from Alexandria via LeMat-Bulk.

a = 4.9535 Å, b = 4.9535 Å, c = 9.9140 Å
α = 75.53°, β = 75.53°, γ = 90.00°
Closest atoms and distances in Å follow each position.
Element x y z (fractional)
Ba 0.0000 0.0000 0.0000  4 Sn 3.50, 8 Ru 3.52-3.70
Ba 0.7500 0.2500 0.5000  4 Sn 3.50, 8 Ru 3.52-3.70
Ru 0.3487 0.6250 0.2500  2 Ru 2.49, 2 Sn 2.63
Ru 0.3750 0.5987 0.7500  2 Ru 2.49, 2 Sn 2.63
Ru 0.8750 0.6513 0.7500  2 Ru 2.49, 2 Sn 2.63
Ru 0.4013 0.1250 0.2500  2 Ru 2.49, 2 Sn 2.63
Sn 0.2500 0.7500 0.5000  4 Ru 2.63
Sn 0.5000 0.5000 0.0000  4 Ru 2.63

Values from the calculation:
V   28.45 Å³ per atom
Electronic total energy   -45.93 eV per cell
SG   No. 122

***

The following is a PBE calculation of a relaxed BaSn2Ru crystal, from Alexandria via LeMat-Bulk.

a = 5.1861 Å, b = 5.1861 Å, c = 5.1861 Å
α = 60.00°, β = 60.00°, γ = 60.00°
Closest atoms and distances in Å follow each position.
Element x y z (fractional)
Ba 0.5000 0.5000 0.5000  8 Sn 3.18
Ru 0.0000 0.0000 0.0000  8 Sn 3.18
Sn 0.7500 0.7500 0.7500  4 Ba 3.18, 4 Ru 3.18
Sn 0.2500 0.2500 0.2500  4 Ba 3.18, 4 Ru 3.18

Values from the calculation:
V   24.66 Å³ per atom
Electronic total energy   -18.59 eV per cell
SG   No. 225

***

The following is a PBE calculation of a relaxed BaSn8Ru2 crystal, from Alexandria via LeMat-Bulk.

a = 6.4148 Å, b = 6.4148 Å, c = 8.8400 Å
α = 90.00°, β = 90.00°, γ = 90.00°
Closest atoms and distances in Å follow each position.
Element x y z (fractional)
Sn 0.7527 0.7527 0.8218  2 Ru 2.76
Sn 0.7527 0.2473 0.8218  2 Ru 2.76
Sn 0.2473 0.7527 0.1782  2 Ru 2.76
Sn 0.7527 0.7527 0.1782  2 Ru 2.76
Sn 0.2473 0.2473 0.1782  2 Ru 2.76
Sn 0.2473 0.2473 0.8218  2 Ru 2.76
Sn 0.2473 0.7527 0.8218  2 Ru 2.76
Sn 0.7527 0.2473 0.1782  2 Ru 2.76
Ru 0.5000 0.0000 0.0000  8 Sn 2.76
Ru 0.0000 0.5000 0.0000  8 Sn 2.76
Ba 0.5000 0.5000 0.5000  8 Sn 3.65

Values from the calculation:
V   33.07 Å³ per atom
Electronic total energy   -52.53 eV per cell
SG   No. 123

***

The following is a PBE calculation of a relaxed BaTc2SnRu crystal, from Alexandria via LeMat-Bulk.

a = 4.9121 Å, b = 5.1160 Å, c = 4.9121 Å
α = 90.00°, β = 90.00°, γ = 90.00°
Closest atoms and distances in Å follow each position.
Element x y z (fractional)
Sn 0.0000 0.5000 0.0000  2 Ru 2.56
Tc 0.0000 0.0000 0.5000  2 Ru 2.46
Tc 0.5000 0.0000 0.0000  2 Ru 2.46
Ba 0.5000 0.5000 0.5000  4 Sn 3.47, 8 Tc 3.55
Ru 0.0000 0.0000 0.0000  4 Tc 2.46, 2 Sn 2.56

Values from the calculation:
V   24.69 Å³ per atom
Electronic total energy   -31.35 eV per cell
SG   No. 123

***

The following is a PBE calculation of a relaxed BaZnSn2Ru crystal, from Alexandria via LeMat-Bulk.

a = 5.1516 Å, b = 5.1516 Å, c = 5.0315 Å
α = 90.00°, β = 90.00°, γ = 90.00°
Closest atoms and distances in Å follow each position.
Element x y z (fractional)
Sn 0.0000 0.5000 0.0000  2 Ru 2.58
Sn 0.5000 0.0000 0.0000  2 Ru 2.58
Zn 0.0000 0.0000 0.5000  2 Ru 2.52
Ru 0.0000 0.0000 0.0000  2 Zn 2.52, 4 Sn 2.58
Ba 0.5000 0.5000 0.5000  8 Sn 3.60, 4 Zn 3.64

Values from the calculation:
V   26.71 Å³ per atom
Electronic total energy   -21.78 eV per cell
SG   No. 123

***

The following is a PBE calculation of a relaxed BaSr2Ru crystal, from Alexandria via LeMat-Bulk.

a = 3.9153 Å, b = 4.9046 Å, c = 8.9800 Å
α = 74.17°, β = 90.00°, γ = 90.00°
Closest atoms and distances in Å follow each position.
Element x y z (fractional)
Sr 0.5000 0.3455 0.1848  1 Ru 2.92
Sr 0.0000 0.9860 0.9025  4 Ru 3.17-3.18
Ba 0.0000 0.6549 0.5656  2 Ru 3.12
Ru 0.5000 0.5135 0.8471  5 Sr 2.92-3.18, 2 Ba 3.12

Values from the calculation:
E above lowest polymorph   0.014 eV/atom
V   41.47 Å³ per atom
Electronic total energy   -13.11 eV per cell
SG   No. 38

***

The following is a PBE calculation of a relaxed BaSr2Ru crystal, from Alexandria via LeMat-Bulk.

a = 7.8178 Å, b = 7.8178 Å, c = 5.9375 Å
α = 67.68°, β = 67.68°, γ = 28.17°
Closest atoms and distances in Å follow each position.
Element x y z (fractional)
Sr 0.5821 0.5821 0.4179  2 Ru 3.02
Sr 0.9179 0.9179 0.0821  2 Ru 3.02
Ru 0.2500 0.2500 0.2500  4 Sr 3.02
Ba 0.7500 0.7500 0.7500  4 Ru 3.53, 4 Sr 3.78, 2 Ba 3.81

Values from the calculation:
E above lowest polymorph   0.011 eV/atom
V   39.41 Å³ per atom
Electronic total energy   -13.12 eV per cell
SG   No. 71

***

The following is a PBE calculation of a relaxed BaSr2Ru crystal, from Alexandria via LeMat-Bulk.

a = 5.8579 Å, b = 5.8579 Å, c = 5.8579 Å
α = 123.50°, β = 123.50°, γ = 84.03°
Closest atoms and distances in Å follow each position.
Element x y z (fractional)
Ba 0.5000 0.5000 0.0000  4 Ru 3.52, 8 Sr 3.52-3.92
Sr 0.0000 0.0000 0.0000  4 Ru 3.52, 4 Sr 3.52, 4 Ba 3.92
Sr 0.2500 0.7500 0.5000  4 Ba 3.52, 4 Sr 3.52, 4 Ru 3.92
Ru 0.7500 0.2500 0.5000  8 Sr 3.52-3.92, 4 Ba 3.52

Values from the calculation:
E above lowest polymorph   0.214 eV/atom
V   33.45 Å³ per atom
Electronic total energy   -12.30 eV per cell
SG   No. 119